{
  "formula": "YScHg2",
  "functional": "GGA-PBE",
  "state": "relaxed",
  "lattice": [[1.8187, 1.0500, 9.0185], [-1.8187, 1.0500, 9.0185], [0.0000, -2.1001, 9.0185]],
  "species": ["Y", "Sc", "Hg", "Hg"],
  "fractional_positions": [[0.0000, 0.0000, 0.0000], [0.8336, 0.8336, 0.8336], [0.4205, 0.4205, 0.4205], [0.5795, 0.5795, 0.5795]],
  "ef_ev_per_atom": -0.28,
  "de_polymorph_mev_per_atom": 183,
  "spacegroup": "No. 160",
  "magnetic_moment_mub_per_cell": 0.00,
  "density_g_cm3": 8.597
}



{
  "formula": "CsCaP2O",
  "functional": "GGA-PBE",
  "state": "relaxed",
  "lattice": [[5.5556, 0.0000, 0.0000], [0.0000, 5.5556, 0.0000], [0.0000, 0.0000, 4.4181]],
  "species": ["Cs", "Ca", "P", "P", "O"],
  "fractional_positions": [[0.0000, 0.0000, 0.0000], [0.5000, 0.5000, 0.5000], [0.0000, 0.5000, 0.0000], [0.5000, 0.0000, 0.0000], [0.0000, 0.0000, 0.5000]],
  "spacegroup": "No. 123",
  "magnetic_moment_mub_per_cell": 1.44,
  "formation_energy_uncorrected_ev_per_atom": 0.747,
  "density_g_cm3": 3.056
}



{
  "formula": "ErBePd3",
  "functional": "GGA-PBE",
  "state": "relaxed",
  "lattice": [[4.0819, -5.6292, 0.0000], [4.0819, 5.6292, 0.0000], [0.0000, 0.0000, 3.4762]],
  "species": ["Er", "Er", "Be", "Be", "Pd", "Pd", "Pd", "Pd", "Pd", "Pd"],
  "fractional_positions": [[0.2257, 0.7743, 0.0000], [0.7743, 0.2257, 0.0000], [0.2117, 0.2117, 0.0000], [0.7883, 0.7883, 0.0000], [0.0000, 0.0000, 0.5000], [0.1600, 0.4182, 0.5000], [0.4182, 0.1600, 0.5000], [0.5000, 0.5000, 0.0000], [0.5818, 0.8400, 0.5000], [0.8400, 0.5818, 0.5000]],
  "ef_ev_per_atom": -0.76,
  "de_polymorph_mev_per_atom": 0,
  "spacegroup": "No. 65",
  "magnetic_moment_mub_per_cell": 0.00,
  "density_g_cm3": 10.302
}



{
  "formula": "SnSb2Pd7Pb2",
  "functional": "GGA-PBE",
  "state": "relaxed",
  "lattice": [[2.8214, -2.8254, 0.0000], [2.8214, 2.8254, 0.0000], [-1.6312, 0.0000, 15.8448]],
  "species": ["Sn", "Sb", "Sb", "Pd", "Pd", "Pd", "Pd", "Pd", "Pd", "Pd", "Pb", "Pb"],
  "fractional_positions": [[0.0000, 0.0000, 0.0000], [0.1371, 0.1371, 0.4151], [0.8629, 0.8629, 0.5849], [0.0366, 0.5366, 0.1285], [0.3555, 0.3555, 0.5732], [0.4634, 0.9634, 0.8715], [0.5000, 0.5000, 0.0000], [0.5366, 0.0366, 0.1285], [0.6445, 0.6445, 0.4268], [0.9634, 0.4634, 0.8715], [0.4280, 0.4280, 0.7482], [0.5720, 0.5720, 0.2518]],
  "spacegroup": "No. 12",
  "magnetic_moment_mub_per_cell": 0.00,
  "formation_energy_uncorrected_ev_per_atom": -0.286,
  "density_g_cm3": 10.002
}



{
  "formula": "Rb2Cu2Au",
  "functional": "GGA-PBE",
  "state": "relaxed",
  "lattice": [[7.0038, 0.0000, 0.0000], [0.0000, 7.0038, 0.0000], [0.0000, 0.0000, 5.4307]],
  "species": ["Rb", "Rb", "Rb", "Rb", "Cu", "Cu", "Cu", "Cu", "Au", "Au"],
  "fractional_positions": [[0.1869, 0.3131, 0.0000], [0.3131, 0.8131, 0.0000], [0.6869, 0.1869, 0.0000], [0.8131, 0.6869, 0.0000], [0.1257, 0.6257, 0.5000], [0.3743, 0.1257, 0.5000], [0.6257, 0.8743, 0.5000], [0.8743, 0.3743, 0.5000], [0.0000, 0.0000, 0.5000], [0.5000, 0.5000, 0.5000]],
  "ef_ev_per_atom": 0.24,
  "de_polymorph_mev_per_atom": 58,
  "spacegroup": "No. 127",
  "magnetic_moment_mub_per_cell": 0.00,
  "density_g_cm3": 6.171
}



{
  "formula": "Pm2HgPdO5",
  "functional": "GGA-PBE",
  "state": "relaxed",
  "lattice": [[6.8306, 0.0000, 0.0000], [0.0000, 6.8306, 0.0000], [0.0000, 0.0000, 5.7269]],
  "species": ["Pm", "Pm", "Pm", "Pm", "Hg", "Hg", "Pd", "Pd", "O", "O", "O", "O", "O", "O", "O", "O", "O", "O"],
  "fractional_positions": [[0.1733, 0.3267, 0.0000], [0.3267, 0.8267, 0.0000], [0.6733, 0.1733, 0.0000], [0.8267, 0.6733, 0.0000], [0.0000, 0.0000, 0.5000], [0.5000, 0.5000, 0.5000], [0.0000, 0.5000, 0.5000], [0.5000, 0.0000, 0.5000], [0.0000, 0.0000, 0.0000], [0.1378, 0.6378, 0.2423], [0.1378, 0.6378, 0.7577], [0.3622, 0.1378, 0.2423], [0.3622, 0.1378, 0.7577], [0.5000, 0.5000, 0.0000], [0.6378, 0.8622, 0.2423], [0.6378, 0.8622, 0.7577], [0.8622, 0.3622, 0.2423], [0.8622, 0.3622, 0.7577]],
  "spacegroup": "No. 127",
  "magnetic_moment_mub_per_cell": 0.00,
  "formation_energy_uncorrected_ev_per_atom": -1.880,
  "density_g_cm3": 8.415
}



{
  "formula": "BeGaTeH2",
  "functional": "GGA-PBE",
  "state": "relaxed",
  "lattice": [[3.7854, 0.0000, 0.0000], [0.0000, 3.7854, 0.0000], [0.0000, 0.0000, 6.1545]],
  "species": ["Be", "Ga", "Te", "H", "H"],
  "fractional_positions": [[0.0000, 0.0000, 0.0000], [0.5000, 0.5000, 0.0000], [0.5000, 0.5000, 0.5000], [0.0000, 0.5000, 0.5000], [0.5000, 0.0000, 0.5000]],
  "spacegroup": "No. 123",
  "magnetic_moment_mub_per_cell": 0.00,
  "density_g_cm3": 3.923,
  "dft_energy_ev_per_atom": -2.68
}



{
  "formula": "AcLaPm2Er4",
  "functional": "GGA-PBE",
  "state": "relaxed",
  "lattice": [[6.3128, -3.6401, 0.0000], [6.3128, 3.6401, 0.0000], [-4.2153, 0.0000, 11.7128]],
  "species": ["Ac", "Ac", "La", "La", "Pm", "Pm", "Pm", "Pm", "Er", "Er", "Er", "Er", "Er", "Er", "Er", "Er"],
  "fractional_positions": [[0.0000, 0.0000, 0.0000], [0.0000, 0.0000, 0.5000], [0.0000, 0.5000, 0.0000], [0.5000, 0.0000, 0.0000], [0.0000, 0.5000, 0.5000], [0.5000, 0.0000, 0.5000], [0.5000, 0.5000, 0.0000], [0.5000, 0.5000, 0.5000], [0.2514, 0.2514, 0.7503], [0.2519, 0.2519, 0.2534], [0.2528, 0.7456, 0.7488], [0.2544, 0.7472, 0.2512], [0.7456, 0.2528, 0.7488], [0.7472, 0.2544, 0.2512], [0.7481, 0.7481, 0.7466], [0.7486, 0.7486, 0.2497]],
  "ef_ev_per_atom": 0.03,
  "spacegroup": "No. 12",
  "magnetic_moment_mub_per_cell": 0.00,
  "density_g_cm3": 8.174
}